Dy2HoTm4Ni2Te2 after structural relaxation, computed with PBE.

a b c (Å): 9.265 9.265 9.265
angles (deg): 156.18 66.87 118.56
Fractional positions:
Dy 0.147 0.000 0.147
Dy 0.853 0.000 0.853
Ho 0.769 0.269 0.500
Tm 0.219 0.852 0.366
Tm 0.463 0.648 0.815
Tm 0.486 0.852 0.634
Tm 0.833 0.648 0.185
Ni 0.078 0.340 0.738
Ni 0.601 0.340 0.262
Te 0.109 0.609 0.500
Te 0.503 0.503 0.000

electronic total energy = -5.1458 eV/atom